#1
Entry from Alexandria via LeMat-Bulk: a geometry-optimized ZrInAg3 structure (PBE-GGA).

The value obtained for the density of states at the Fermi level is 0.896 states/eV per atom.

The space group is Pm-3m (No. 221) and the conventional cell measures 5.370, 5.370 and 5.370 Å, with angles of 90.00, 90.00 and 90.00 degrees. The inequivalent atoms are Zr at (0.000, 0.000, 0.000), In at (0.500, 0.500, 0.500) and Ag at (0.000, 0.000, 0.500).



#2
Entry from Alexandria via LeMat-Bulk: a geometry-optimized ZrInAg3 structure (PBE-GGA).

The value obtained for the density of states at the Fermi level is 0.462 states/eV per atom.

The space group is P2_1/m (No. 11) and the conventional cell measures 4.598, 4.643 and 9.418 Å, with angles of 90.00, 104.12 and 90.00 degrees. The inequivalent atoms are Zr at (0.149, 0.250, 0.298), In at (0.353, 0.250, 0.706), Ag at (0.046, 0.750, 0.092), Ag at (0.249, 0.750, 0.499) and Ag at (0.452, 0.750, 0.905).



Relative stability in eV/atom, measured from the most stable structure: #1 1.077; #2 0.000



#1
Entry from Alexandria via LeMat-Bulk: a geometry-optimized ZrIn3Ag structure (PBE-GGA).

The value obtained for the density of states at the Fermi level is 0.804 states/eV per atom.

The space group is Pm-3m (No. 221) and the conventional cell measures 5.582, 5.582 and 5.582 Å, with angles of 90.00, 90.00 and 90.00 degrees. The inequivalent atoms are Zr at (0.000, 0.000, 0.000), In at (0.000, 0.000, 0.500) and Ag at (0.500, 0.500, 0.500).



#2
Entry from Alexandria via LeMat-Bulk: a geometry-optimized ZrIn3Ag structure (PBE-GGA).

The value obtained for the density of states at the Fermi level is 0.853 states/eV per atom.

The space group is Pm-3m (No. 221) and the conventional cell measures 5.172, 5.172 and 5.172 Å, with angles of 90.00, 90.00 and 90.00 degrees. The inequivalent atoms are Zr at (0.000, 0.000, 0.000), In at (0.000, 0.500, 0.500) and Ag at (0.500, 0.500, 0.500).



Relative stability in eV/atom, measured from the most stable structure: #1 0.126; #2 0.000